Entry 1:
Here is crystalline Sc2Hg3Au3O12 at its relaxed geometry from the Open Quantum Materials Database. Energies are from PBE.

Computed properties:
The space group is Ia-3d (230). The calculation puts the calculated density at 9.3 g/cm3. For the total energy, the calculation gives -4.70 eV per atom. The magnetization is 12.0 μB/cell.

Lattice parameters (Å, degrees): 11.108 11.108 11.108 109.47 109.47 109.47
Element x y z (fractional)
1 Sc 0.000 0.000 0.500
2 O 0.339 0.379 0.277
3 O 0.277 0.938 0.399
4 O 0.121 0.399 0.460
5 Hg 0.625 0.250 0.375
6 O 0.121 0.223 0.661
7 Sc 0.500 0.000 0.000
8 Au 0.750 0.625 0.375
9 O 0.223 0.121 0.161
10 Au 0.625 0.750 0.875
11 O 0.879 0.601 0.540
12 O 0.223 0.601 0.062
13 Hg 0.125 0.375 0.250
14 O 0.777 0.399 0.938
15 Au 0.375 0.250 0.125
16 O 0.899 0.438 0.777
17 Au 0.875 0.250 0.625
18 O 0.101 0.040 0.879
19 Au 0.875 0.125 0.250
20 Hg 0.375 0.750 0.625
21 O 0.161 0.938 0.540
22 O 0.938 0.277 0.899
23 O 0.460 0.339 0.562
24 Au 0.750 0.125 0.875
25 O 0.101 0.562 0.223
26 Hg 0.375 0.125 0.750
27 O 0.839 0.277 0.379
28 Au 0.125 0.750 0.375
29 O 0.161 0.723 0.621
30 Hg 0.750 0.375 0.125
31 O 0.062 0.723 0.101
32 O 0.777 0.879 0.839
33 O 0.438 0.040 0.161
34 Sc 0.500 0.500 0.000
35 O 0.438 0.899 0.277
36 Sc 0.000 0.500 0.500
37 O 0.062 0.839 0.960
38 O 0.621 0.460 0.399
39 Au 0.625 0.375 0.750
40 O 0.723 0.062 0.601
41 Hg 0.250 0.125 0.375
42 O 0.839 0.062 0.460
43 O 0.399 0.121 0.960
44 O 0.339 0.460 0.062
45 O 0.540 0.661 0.438
46 Au 0.250 0.875 0.125
47 O 0.562 0.101 0.723
48 Au 0.125 0.875 0.750
49 O 0.040 0.101 0.379
50 O 0.601 0.879 0.040
51 O 0.661 0.540 0.938
52 O 0.040 0.438 0.661
53 Sc 0.500 0.500 0.500
54 Hg 0.625 0.875 0.250
55 Sc 0.500 0.000 0.500
56 O 0.379 0.540 0.601
57 Sc 0.000 0.000 0.000
58 Au 0.250 0.375 0.625
59 Hg 0.250 0.625 0.875
60 O 0.379 0.339 0.777
61 O 0.399 0.777 0.438
62 O 0.879 0.777 0.339
63 O 0.601 0.223 0.562
64 O 0.460 0.621 0.899
65 Hg 0.750 0.875 0.625
66 Hg 0.125 0.250 0.875
67 O 0.960 0.899 0.621
68 O 0.277 0.839 0.879
69 Hg 0.875 0.625 0.750
70 O 0.621 0.661 0.223
71 O 0.938 0.161 0.040
72 O 0.960 0.562 0.339
73 Hg 0.875 0.750 0.125
74 O 0.562 0.960 0.839
75 O 0.723 0.161 0.121
76 O 0.540 0.379 0.101
77 Sc 0.000 0.500 0.000
78 O 0.899 0.960 0.121
79 Au 0.375 0.625 0.250
80 O 0.661 0.621 0.723



Entry 2:
Here is crystalline HgTeAuO at its relaxed geometry from the Open Quantum Materials Database. Energies are from PBE.

Computed properties:
The distance to the lowest polymorph of the same formula is 188 meV per atom. The space group is P4/nmm (129). The calculation puts the calculated density at 9.6 g/cm3. For the total energy, the calculation gives -2.71 eV per atom.

Lattice parameters (Å, degrees): 4.411 4.411 9.598 90.00 90.00 90.00
Element x y z (fractional)
1 O 0.250 0.750 0.000
2 Te 0.750 0.750 0.297
3 Hg 0.250 0.750 0.500
4 O 0.750 0.250 0.000
5 Au 0.250 0.250 0.037
6 Te 0.250 0.250 0.703
7 Au 0.750 0.750 0.963
8 Hg 0.750 0.250 0.500



Entry 3:
Here is crystalline HgTeAuO at its relaxed geometry from the Open Quantum Materials Database. Energies are from PBE.

Computed properties:
The distance to the lowest polymorph of the same formula is 0 meV per atom. The space group is Pmc2_1 (26). The calculation puts the calculated density at 9.9 g/cm3. For the total energy, the calculation gives -2.90 eV per atom.

Lattice parameters (Å, degrees): 3.663 7.646 6.477 90.00 90.00 90.00
Element x y z (fractional)
1 Au 0.500 0.976 0.162
2 O 0.500 0.750 0.714
3 Hg 0.000 0.323 0.019
4 O 0.500 0.250 0.214
5 Te 0.000 0.273 0.597
6 Te 0.000 0.727 0.097
7 Hg 0.000 0.677 0.519
8 Au 0.500 0.024 0.662